1.
Here is crystalline MgInO2 at its relaxed geometry from Alexandria via LeMat-Bulk. Energies are from PBEsol.

```
16
Lattice="5.743 0.000 0.000 0.000 5.743 0.000 0.000 0.000 5.743" Properties=species:S:1:pos:R:3 pbc="T T T"
Mg 0.000 0.000 0.000
Mg 0.000 2.871 2.871
Mg 2.871 0.000 2.871
Mg 2.871 2.871 0.000
In 0.000 0.000 2.871
In 0.000 2.871 0.000
In 2.871 0.000 0.000
In 2.871 2.871 2.871
O 1.436 1.436 1.436
O 1.436 1.436 4.307
O 1.436 4.307 1.436
O 1.436 4.307 4.307
O 4.307 1.436 1.436
O 4.307 1.436 4.307
O 4.307 4.307 1.436
O 4.307 4.307 4.307
```

Magnetization, μB per atom: 0.000
Formation energy (no corrections), eV per atom: -1.075
DOS at the Fermi energy, states/eV/cell: 4.476
Uncorrected energy, eV/atom: -4.8743



2.
Here is crystalline Co2MoAs at its relaxed geometry from Alexandria via LeMat-Bulk. Energies are from PBEsol.

```
4
Lattice="2.757 0.000 0.000 0.000 2.757 0.000 0.000 0.000 6.498" Properties=species:S:1:pos:R:3 pbc="T T T"
Co 0.000 0.000 1.450
Co 0.000 0.000 5.048
Mo 1.379 1.379 3.249
As 1.379 1.379 0.000
```

Magnetization, μB per atom: 0.371
DOS at the Fermi energy, states/eV/cell: 2.771
Formation energy, meV per atom: 35
Uncorrected energy, eV/atom: -8.0522



3.
Here is crystalline KZr2As at its relaxed geometry from Alexandria via LeMat-Bulk. Energies are from PBEsol.

```
8
Lattice="9.329 0.000 0.000 0.000 3.449 0.000 -2.185 0.000 7.289" Properties=species:S:1:pos:R:3 pbc="T T T"
K 0.000 0.000 0.000
K 4.664 1.724 0.000
Zr 0.231 0.000 4.588
Zr 2.924 0.000 3.139
Zr 4.896 1.724 4.588
Zr 7.588 1.724 3.139
As 0.920 1.724 2.610
As 5.584 0.000 2.610
```

Magnetization, μB per atom: 0.000
DOS at the Fermi energy, states/eV/cell: 9.165
Formation energy, meV per atom: 37
Uncorrected energy, eV/atom: -6.0679



4.
Here is crystalline AlFePt at its relaxed geometry from Alexandria via LeMat-Bulk. Energies are from PBEsol.

```
12
Lattice="5.672 0.000 0.000 0.000 5.672 0.000 0.000 0.000 5.672" Properties=species:S:1:pos:R:3 pbc="T T T"
Al 0.000 0.000 0.000
Al 0.000 2.836 2.836
Al 2.836 0.000 2.836
Al 2.836 2.836 0.000
Fe 1.418 1.418 4.254
Fe 1.418 4.254 1.418
Fe 4.254 1.418 1.418
Fe 4.254 4.254 4.254
Pt 0.000 0.000 2.836
Pt 0.000 2.836 0.000
Pt 2.836 0.000 0.000
Pt 2.836 2.836 2.836
```

Magnetization, μB per atom: 0.819
DOS at the Fermi energy, states/eV/cell: 9.100
Formation energy, meV per atom: -137
Uncorrected energy, eV/atom: -6.8094



5.
Here is crystalline CuAgRh2 at its relaxed geometry from Alexandria via LeMat-Bulk. Energies are from PBEsol.

```
8
Lattice="9.080 0.000 0.000 0.000 2.692 0.000 -0.972 0.000 4.504" Properties=species:S:1:pos:R:3 pbc="T T T"
Cu 0.000 0.000 0.000
Cu 4.540 1.346 0.000
Ag -0.486 1.346 2.252
Ag 4.054 0.000 2.252
Rh 1.941 1.346 1.065
Rh 1.627 0.000 3.440
Rh 6.481 0.000 1.065
Rh 6.167 1.346 3.440
```

Magnetization, μB per atom: 0.001
DOS at the Fermi energy, states/eV/cell: 11.303
Formation energy, meV per atom: 183
Uncorrected energy, eV/atom: -5.7974



6.
Here is crystalline Ta2CdSi at its relaxed geometry from Alexandria via LeMat-Bulk. Energies are from PBEsol.

```
12
Lattice="2.900 0.000 0.000 -1.450 2.512 0.000 0.000 0.000 28.164" Properties=species:S:1:pos:R:3 pbc="T T T"
Ta 0.000 0.000 6.869
Ta 0.000 0.000 21.295
Ta 0.000 1.674 11.907
Ta 0.000 1.674 25.645
Ta 1.450 0.837 2.519
Ta 1.450 0.837 16.257
Cd 0.000 0.000 0.000
Cd 0.000 1.674 18.776
Cd 1.450 0.837 9.388
Si 0.000 0.000 14.082
Si 0.000 1.674 4.694
Si 1.450 0.837 23.470
```

Magnetization, μB per atom: 0.000
Formation energy (no corrections), eV per atom: 0.110
DOS at the Fermi energy, states/eV/cell: 9.347
Uncorrected energy, eV/atom: -7.9017



7.
Here is crystalline HfOsSe2 at its relaxed geometry from Alexandria via LeMat-Bulk. Energies are from PBEsol.

```
16
Lattice="4.470 0.000 0.000 0.000 4.470 0.000 0.000 0.000 15.602" Properties=species:S:1:pos:R:3 pbc="T T T"
Hf 0.000 0.000 0.000
Hf 0.000 2.235 3.901
Hf 2.235 0.000 11.702
Hf 2.235 2.235 7.801
Os 0.000 0.000 7.801
Os 0.000 2.235 11.702
Os 2.235 0.000 3.901
Os 2.235 2.235 0.000
Se 1.001 1.117 9.751
Se 1.117 3.236 13.652
Se 1.117 3.469 5.851
Se 1.234 1.117 1.950
Se 3.236 3.352 1.950
Se 3.352 1.001 5.851
Se 3.352 1.234 13.652
Se 3.469 3.352 9.751
```

Magnetization, μB per atom: 0.000
Formation energy (no corrections), eV per atom: -0.125
DOS at the Fermi energy, states/eV/cell: 8.706
Uncorrected energy, eV/atom: -7.7303



8.
Here is crystalline MnAlAs2 at its relaxed geometry from Alexandria via LeMat-Bulk. Energies are from PBEsol.

```
4
Lattice="3.679 0.000 0.000 0.000 3.508 0.000 -1.729 0.000 5.137" Properties=species:S:1:pos:R:3 pbc="T T T"
Mn 0.000 0.000 0.000
Al -0.864 0.000 2.569
As 1.352 1.754 1.189
As 0.599 1.754 3.948
```

Magnetization, μB per atom: 0.757
DOS at the Fermi energy, states/eV/cell: 2.111
Formation energy, meV per atom: 84
Uncorrected energy, eV/atom: -5.9321



9.
Here is crystalline TlInPCl2 at its relaxed geometry from Alexandria via LeMat-Bulk. Energies are from PBEsol.

```
5
Lattice="5.400 0.000 0.000 0.000 5.400 0.000 0.000 0.000 5.110" Properties=species:S:1:pos:R:3 pbc="T T T"
Tl 0.000 0.000 0.000
In 2.700 2.700 2.555
P 0.000 0.000 2.555
Cl 0.000 2.700 0.000
Cl 2.700 0.000 0.000
```

Magnetization, μB per atom: 0.274
Formation energy (no corrections), eV per atom: 0.055
DOS at the Fermi energy, states/eV/cell: 2.583
Uncorrected energy, eV/atom: -3.0293



10.
Here is crystalline CsNa2Sr at its relaxed geometry from Alexandria via LeMat-Bulk. Energies are from PBEsol.

```
16
Lattice="9.467 0.000 0.000 0.000 9.467 0.000 0.000 0.000 9.467" Properties=species:S:1:pos:R:3 pbc="T T T"
Cs 0.000 0.000 0.000
Cs 0.000 4.733 4.733
Cs 4.733 0.000 4.733
Cs 4.733 4.733 0.000
Na 2.367 2.367 2.367
Na 2.367 2.367 7.100
Na 2.367 7.100 2.367
Na 2.367 7.100 7.100
Na 7.100 2.367 2.367
Na 7.100 2.367 7.100
Na 7.100 7.100 2.367
Na 7.100 7.100 7.100
Sr 0.000 0.000 4.733
Sr 0.000 4.733 0.000
Sr 4.733 0.000 0.000
Sr 4.733 4.733 4.733
```

Magnetization, μB per atom: 0.000
DOS at the Fermi energy, states/eV/cell: 9.733
Formation energy, meV per atom: 86
Uncorrected energy, eV/atom: -1.3095



11.
Here is crystalline Ni3Sn2 at its relaxed geometry from Alexandria via LeMat-Bulk. Energies are from PBEsol.

```
20
Lattice="7.058 0.000 0.000 0.000 5.143 0.000 0.000 0.000 8.059" Properties=species:S:1:pos:R:3 pbc="T T T"
Ni 0.652 1.286 1.022
Ni 1.651 2.595 7.052
Ni 1.651 5.119 7.052
Ni 1.878 0.024 3.023
Ni 1.878 2.548 3.023
Ni 2.877 3.857 5.052
Ni 4.181 1.286 3.007
Ni 5.180 2.595 5.036
Ni 5.180 5.119 5.036
Ni 5.408 0.024 1.007
Ni 5.408 2.548 1.007
Ni 6.406 3.857 7.036
Sn 0.419 3.857 4.794
Sn 0.687 3.857 1.144
Sn 2.842 1.286 5.174
Sn 3.110 1.286 0.764
Sn 3.948 3.857 7.294
Sn 4.216 3.857 2.885
Sn 6.371 1.286 6.915
Sn 6.639 1.286 3.265
```

Magnetization, μB per atom: 0.000
DOS at the Fermi energy, states/eV/cell: 12.399
Formation energy, meV per atom: -309
Uncorrected energy, eV/atom: -5.7076



12.
Here is crystalline ScCdSn at its relaxed geometry from Alexandria via LeMat-Bulk. Energies are from PBEsol.

```
12
Lattice="4.279 0.000 0.000 0.000 14.108 0.000 0.000 0.000 4.233" Properties=species:S:1:pos:R:3 pbc="T T T"
Sc 0.000 2.257 0.000
Sc 0.000 11.851 0.000
Sc 2.139 4.797 0.000
Sc 2.139 9.311 0.000
Cd 0.000 0.000 2.117
Cd 0.000 7.054 0.000
Cd 2.139 0.000 0.000
Cd 2.139 7.054 2.117
Sn 0.000 4.687 2.117
Sn 0.000 9.421 2.117
Sn 2.139 2.367 2.117
Sn 2.139 11.741 2.117
```

Magnetization, μB per atom: 0.000
DOS at the Fermi energy, states/eV/cell: 5.164
Formation energy, meV per atom: -482
Uncorrected energy, eV/atom: -4.5020